# AlBi2HRu, optimized geometry, DFT GGA-PBE
# Crystal system ... tetragonal
# E_tot ... -4.445 eV/atom
data_AlBi2HRu
_cell_length_a 5.1654
_cell_length_b 3.4901
_cell_length_c 5.1654
_cell_angle_alpha 90.00
_cell_angle_beta 90.00
_cell_angle_gamma 90.00
_space_group_name_H-M_alt 'P 1'
_space_group_IT_number 1
loop_
_space_group_symop_operation_xyz
'x,y,z'
loop_
_atom_site_label
_atom_site_fract_x
_atom_site_fract_y
_atom_site_fract_z
Ru1 0.0000 0.5000 0.0000
Bi1 0.0000 0.0000 0.5000
Bi2 0.5000 0.0000 0.0000
H1 0.0000 0.0000 0.0000
Al1 0.5000 0.5000 0.5000



# LaNdEuHg, optimized geometry, DFT GGA-PBE
# Crystal system ... cubic
# E_tot ... -5.169 eV/atom
# ΔH_f (0 K) ... -0.40 eV/f.u.
data_LaNdEuHg
_cell_length_a 5.6342
_cell_length_b 5.6342
_cell_length_c 5.6342
_cell_angle_alpha 60.00
_cell_angle_beta 60.00
_cell_angle_gamma 60.00
_space_group_name_H-M_alt 'P 1'
_space_group_IT_number 1
loop_
_space_group_symop_operation_xyz
'x,y,z'
loop_
_atom_site_label
_atom_site_fract_x
_atom_site_fract_y
_atom_site_fract_z
Eu1 0.0000 0.0000 0.0000
Nd1 0.7500 0.7500 0.7500
Hg1 0.5000 0.5000 0.5000
La1 0.2500 0.2500 0.2500